Entry A
The following is a DFT calculation (PBE) of crystalline Ir2BrCl2 at its relaxed geometry.

```
Ir2BrCl2
1.0
8.384 0.000 0.000
0.000 8.384 0.000
0.000 0.000 2.958
Ir Br Cl
4 2 4
Cartesian
1.881 2.311 0.000
2.311 6.503 0.000
6.074 1.881 0.000
6.503 6.074 0.000
0.000 0.000 1.479
4.192 4.192 1.479
1.071 5.264 1.479
3.121 1.071 1.479
5.264 7.313 1.479
7.313 3.121 1.479
```

Calculated values
N(E_F)   12.64 states/eV per cell
V   207.9 Å³/cell
Size of the total moment   2.53 μB/cell

---

Entry B
The following is a DFT calculation (PBE) of crystalline Ir2BrCl2 at its relaxed geometry.

```
Ir2BrCl2
1.0
-1.905 1.905 7.333
1.905 -1.905 7.333
1.905 1.905 -7.333
Ir Br Cl
2 1 2
Cartesian
1.905 0.000 3.667
0.000 1.905 3.667
0.000 0.000 0.000
0.000 0.000 5.319
0.000 0.000 9.347
```

Calculated values
N(E_F)   7.61 states/eV per cell
V   106.5 Å³/cell
Size of the total moment   0.60 μB/cell

---

entry B ends up most stable, edging out the next structure by 405 meV per atom.

---

Entry A
The following is a DFT calculation (PBE) of crystalline PIrBrCl2 at its relaxed geometry.

```
PIrBrCl2
1.0
4.931 0.000 0.000
0.000 4.931 0.000
0.000 0.000 5.247
P Ir Br Cl
1 1 1 2
Cartesian
0.000 0.000 0.000
2.466 2.466 0.000
0.000 0.000 2.624
0.000 2.466 2.624
2.466 0.000 2.624
```

Calculated values
N(E_F)   10.13 states/eV per cell
V   127.6 Å³/cell
Size of the total moment   1.88 μB/cell

---

Entry B
The following is a DFT calculation (PBE) of crystalline PIrBrCl2 at its relaxed geometry.

```
PIrBrCl2
1.0
5.208 0.000 0.000
0.000 5.208 0.000
0.000 0.000 4.886
P Ir Br Cl
1 1 1 2
Cartesian
0.000 0.000 0.000
2.604 2.604 0.000
2.604 2.604 2.443
0.000 2.604 2.443
2.604 0.000 2.443
```

Calculated values
N(E_F)   3.73 states/eV per cell
V   132.5 Å³/cell
Size of the total moment   0.77 μB/cell

---

entry B ends up most stable, edging out the next structure by 159 meV per atom.

---

Entry A
The following is a DFT calculation (PBE) of crystalline IrS2BrCl at its relaxed geometry.

```
IrS2BrCl
1.0
4.850 0.000 0.000
0.000 4.850 0.000
0.000 0.000 4.956
Ir S Br Cl
1 2 1 1
Cartesian
0.000 0.000 0.000
0.000 2.425 2.478
2.425 0.000 2.478
2.425 2.425 2.478
2.425 2.425 0.000
```

Calculated values
N(E_F)   6.26 states/eV per cell
V   116.6 Å³/cell
Size of the total moment   2.69 μB/cell

---

Entry B
The following is a DFT calculation (PBE) of crystalline IrS2BrCl at its relaxed geometry.

```
IrS2BrCl
1.0
4.640 0.000 0.000
0.000 4.640 0.000
0.000 0.000 4.906
Ir S Br Cl
1 2 1 1
Cartesian
0.000 0.000 0.000
0.000 2.320 0.000
2.320 0.000 0.000
2.320 2.320 2.453
0.000 0.000 2.453
```

Calculated values
N(E_F)   5.56 states/eV per cell
V   105.6 Å³/cell
Size of the total moment   0.00 μB/cell

---

entry B ends up most stable, edging out the next structure by 1349 meV per atom.

---

Entry A
The following is a DFT calculation (PBE) of crystalline IrSe2BrCl at its relaxed geometry.

```
IrSe2BrCl
1.0
4.859 0.000 0.000
0.000 4.859 0.000
0.000 0.000 5.222
Ir Se Br Cl
1 2 1 1
Cartesian
0.000 0.000 0.000
0.000 2.429 0.000
2.429 0.000 0.000
0.000 0.000 2.611
2.429 2.429 2.611
```

Calculated values
N(E_F)   6.24 states/eV per cell
V   123.3 Å³/cell
Size of the total moment   0.00 μB/cell

---

Entry B
The following is a DFT calculation (PBE) of crystalline IrSe2BrCl at its relaxed geometry.

```
IrSe2BrCl
1.0
4.983 0.000 0.000
0.000 4.983 0.000
0.000 0.000 4.983
Ir Se Br Cl
1 2 1 1
Cartesian
0.000 0.000 0.000
0.000 2.492 2.492
2.492 0.000 2.492
2.492 2.492 0.000
2.492 2.492 2.492
```

Calculated values
N(E_F)   7.49 states/eV per cell
V   123.7 Å³/cell
Size of the total moment   3.10 μB/cell

---

entry A ends up most stable, edging out the next structure by 1229 meV per atom.

---

Entry A
The following is a DFT calculation (PBE) of crystalline K2BrCl at its relaxed geometry.

```
K2BrCl
1.0
2.259 1.304 7.940
-2.259 1.304 7.940
0.000 -2.608 7.940
K Br Cl
2 1 1
Cartesian
0.000 0.000 0.000
0.000 0.000 4.184
0.000 0.000 10.002
0.000 0.000 14.027
```

Calculated values
N(E_F)   0.00 states/eV per cell
V   140.3 Å³/cell
Size of the total moment   0.00 μB/cell

---

Entry B
The following is a DFT calculation (PBE) of crystalline K2BrCl at its relaxed geometry.

```
K2BrCl
1.0
-3.275 3.275 6.530
3.275 -3.275 6.530
3.275 3.275 -6.530
K Br Cl
4 2 2
Cartesian
3.275 1.637 -1.730
0.000 1.637 1.535
3.275 1.637 4.995
0.000 1.637 8.260
3.275 1.637 1.632
0.000 1.637 4.897
3.275 -1.637 4.897
0.000 4.912 1.632
```

Calculated values
N(E_F)   0.00 states/eV per cell
V   280.1 Å³/cell
Size of the total moment   0.00 μB/cell

---

entry B ends up most stable, edging out the next structure by 23 meV per atom.

---

Entry A
The following is a DFT calculation (PBE) of crystalline KBrCl at its relaxed geometry.

```
KBrCl
1.0
0.000 3.842 3.842
3.842 0.000 3.842
3.842 3.842 0.000
K Br Cl
1 1 1
Cartesian
0.000 0.000 0.000
1.921 1.921 1.921
3.842 3.842 3.842
```

Calculated values
N(E_F)   4.15 states/eV per cell
V   113.4 Å³/cell
Size of the total moment   1.03 μB/cell

---

Entry B
The following is a DFT calculation (PBE) of crystalline KBrCl at its relaxed geometry.

```
KBrCl
1.0
0.000 3.098 5.505
3.090 0.000 5.505
3.090 3.098 0.000
K Br Cl
1 1 1
Cartesian
0.000 0.000 0.000
3.090 3.098 7.142
3.090 3.098 4.387
```

Calculated values
N(E_F)   0.18 states/eV per cell
V   105.4 Å³/cell
Size of the total moment   1.00 μB/cell

---

entry B ends up most stable, edging out the next structure by 176 meV per atom.